DFT (PBE-GGA) results for an optimized crystal structure of Li6TaPd12.

The structure belongs to space group R-3 (No. 148, hexagonal axes); the cell edges are 12.0143, 12.0143 and 6.7608 Å and the angles 90.00°, 90.00° and 120.00°. The inequivalent atoms are Li at (0.0346, 0.2738, 0.3254), Ta at (0.0000, 0.0000, 0.0000), Pd at (0.0194, 0.1420, 0.6686) and Pd at (0.0686, 0.5682, 0.6655).

The calculation puts the theoretical density at 8.8 g cm⁻³. The calculation puts the energy relative to the elements at -37 kJ/mol of atoms.